Material: Er2Co2O7
Method: DFT, PBE with a Hubbard U
State: relaxed

Results
Total DFT energy (no corrections): -6.92 eV/atom
Crystal system: cubic
M_tot: 2.0 μB/f.u.
DOS at the Fermi energy: 9.90 states/eV/cell

Cell: 6.947 6.947 6.947 Å, 60.00 60.00 60.00°
Site moments in Bohr magnetons follow the coordinates.
Positions (direct):
O (0.796, 0.796, 0.204)  0.05
O (0.204, 0.204, 0.796)  0.05
O (0.750, 0.750, 0.750)  0.00
Co (0.125, 0.625, 0.125)  0.80
O (0.204, 0.796, 0.796)  0.05
O (0.454, 0.454, 0.046)  0.05
O (0.796, 0.204, 0.204)  0.05
O (0.046, 0.454, 0.454)  0.05
Er (0.625, 0.125, 0.625)  0.04
O (0.204, 0.796, 0.204)  0.05
Co (0.125, 0.125, 0.625)  0.80
O (0.796, 0.204, 0.796)  0.05
O (0.454, 0.046, 0.454)  0.05
O (0.046, 0.454, 0.046)  0.05
O (0.454, 0.046, 0.046)  0.05
O (0.500, 0.500, 0.500)  0.00
Er (0.625, 0.625, 0.625)  0.04
Er (0.625, 0.625, 0.125)  0.04
Co (0.625, 0.125, 0.125)  0.80
Co (0.125, 0.125, 0.125)  0.80
Er (0.125, 0.625, 0.625)  0.04
O (0.046, 0.046, 0.454)  0.05